# 1
Material: TiGaOsS2
Method: DFT, PBE-GGA
State: optimized geometry

Lattice parameters (Å, degrees): 4.5555 4.5555 5.2551 90.00 90.00 90.00
Closest atoms and distances in Å follow each position.
Element x y z (fractional)
Ti: 0.0000 0.0000 0.0000  4 S 2.28
Ga: 0.0000 0.0000 0.5000  2 Ti 2.63
Os: 0.5000 0.5000 0.5000  4 Ga 3.22, 8 S 3.48
S: 0.0000 0.5000 0.0000  2 Ti 2.28
S: 0.5000 0.0000 0.0000  2 Ti 2.28

Values from the calculation:
Raw formation energy ... 0.865 eV/atom
Spin magnetization ... 0.751 μB per atom
VASP energy ... -5.22 eV/atom

# 2
Material: Zn3InSe
Method: DFT, PBE-GGA
State: optimized geometry

Lattice parameters (Å, degrees): 5.0349 5.0349 5.0349 90.00 90.00 90.00
Closest atoms and distances in Å follow each position.
Element x y z (fractional)
Zn: 0.0000 0.0000 0.5000  2 Se 2.52
Zn: 0.0000 0.5000 0.0000  2 Se 2.52
Zn: 0.5000 0.0000 0.0000  2 Se 2.52
In: 0.5000 0.5000 0.5000  12 Zn 3.56
Se: 0.0000 0.0000 0.0000  6 Zn 2.52

Values from the calculation:
Raw formation energy ... 0.373 eV/atom
Spin magnetization ... 0.000 μB per atom
VASP energy ... -1.64 eV/atom
E above lowest polymorph ... 0.000 eV/atom

# 3
Material: In2Rh
Method: DFT, PBE-GGA
State: optimized geometry

Lattice parameters (Å, degrees): 5.3200 5.3200 7.6281 114.55 114.55 38.60
Closest atoms and distances in Å follow each position.
Element x y z (fractional)
In: 0.0955 0.0955 0.3724  5 Rh 2.81-2.85
In: 0.3427 0.3427 0.9355  3 Rh 2.74-2.86, 3 In 2.87-3.02
In: 0.6573 0.6573 0.0645  3 Rh 2.74-2.86, 3 In 2.87-3.02
In: 0.9045 0.9045 0.6276  5 Rh 2.81-2.85
Rh: 0.3596 0.3596 0.3198  8 In 2.74-2.86, 1 Rh 2.95
Rh: 0.6404 0.6404 0.6802  8 In 2.74-2.86, 1 Rh 2.95

Values from the calculation:
E_form ... -0.276 eV per atom
Spin magnetization ... 0.000 μB per atom
VASP energy ... -4.55 eV/atom

# 4
Material: La2CrMo
Method: DFT, PBE-GGA
State: optimized geometry

Lattice parameters (Å, degrees): 5.7341 5.7341 3.2461 101.99 101.99 110.99
Closest atoms and distances in Å follow each position.
Element x y z (fractional)
La: 0.0000 0.5000 0.0000  2 Cr 2.99, 2 Mo 2.99, 4 La 3.25
La: 0.5000 0.0000 0.0000  2 Cr 2.99, 2 Mo 2.99, 4 La 3.25
Cr: 0.0000 0.0000 0.5000  4 La 2.99, 2 Cr 3.25, 2 Mo 3.25
Mo: 0.5000 0.5000 0.5000  4 La 2.99, 2 Mo 3.25, 2 Cr 3.25

Values from the calculation:
E_form ... 0.748 eV per atom
Spin magnetization ... 0.716 μB per atom
VASP energy ... -6.83 eV/atom
E above lowest polymorph ... 0.392 eV/atom

# 5
Material: Ca6As2SN
Method: DFT, PBE-GGA
State: optimized geometry

Lattice parameters (Å, degrees): 6.7439 7.4856 11.8649 90.00 124.39 90.00
Closest atoms and distances in Å follow each position.
Element x y z (fractional)
Ca: 0.1190 0.0404 0.2325  1 N 2.42
Ca: 0.1190 0.4596 0.7325  1 N 2.42
Ca: 0.2289 0.7114 0.0589  1 N 2.51, 1 S 2.79
Ca: 0.2289 0.7886 0.5589  1 N 2.51, 1 S 2.79
Ca: 0.3529 0.1750 0.0561  1 N 2.46
Ca: 0.3529 0.3250 0.5561  1 N 2.46
Ca: 0.6471 0.6750 0.4439  1 N 2.46
Ca: 0.6471 0.8250 0.9439  1 N 2.46
Ca: 0.7711 0.2114 0.4411  1 N 2.51, 1 S 2.79
Ca: 0.7711 0.2886 0.9411  1 N 2.51, 1 S 2.79
Ca: 0.8810 0.5404 0.2675  1 N 2.42
Ca: 0.8810 0.9596 0.7675  1 N 2.42
As: 0.2836 0.0871 0.7488  6 Ca 2.97-3.13
As: 0.2836 0.4129 0.2488  6 Ca 2.97-3.13
As: 0.7164 0.5871 0.7512  6 Ca 2.97-3.13
As: 0.7164 0.9129 0.2512  6 Ca 2.97-3.13
S: 0.5000 0.0000 0.5000  6 Ca 2.75-2.84
S: 0.5000 0.5000 0.0000  6 Ca 2.75-2.84
N: 0.0000 0.0000 0.0000  6 Ca 2.42-2.51
N: 0.0000 0.5000 0.5000  6 Ca 2.42-2.51

Values from the calculation:
Raw formation energy ... -1.200 eV/atom
Spin magnetization ... 0.100 μB per atom
VASP energy ... -4.58 eV/atom

# 6
Material: Tl3Ge
Method: DFT, PBE-GGA
State: optimized geometry

Lattice parameters (Å, degrees): 3.4180 5.2980 6.2235 90.00 90.00 90.00
Closest atoms and distances in Å follow each position.
Element x y z (fractional)
Tl: 0.0000 0.0000 0.0000  8 Tl 3.31-3.42, 4 Ge 3.46-3.65
Tl: 0.0000 0.5000 0.3176  6 Tl 3.31-3.42, 4 Ge 3.39
Tl: 0.5000 0.5000 0.7896  2 Ge 3.14, 8 Tl 3.40-3.42
Ge: 0.5000 0.0000 0.5175  8 Tl 3.14-3.46, 2 Ge 3.42

Values from the calculation:
E_form ... 0.175 eV per atom
Spin magnetization ... 0.000 μB per atom
VASP energy ... -2.75 eV/atom

Values of N(E_F), in order: 0.89; 0.87; 0.50; 1.25; 0.32; 0.35, all in states/eV per atom.